Entry 1:
# Ac4MgCu3O12

Ac4MgCu3O12 after structural relaxation (PBE-GGA, Alexandria via LeMat-Bulk).

Values from the calculation:
- Uncorrected energy: -6.6777 eV/atom
- E_form (uncorrected): -2.19 eV/atom
- DOS(E_F): 3.746 states/eV/cell
- SG: Im-3m, No. 229
- Total moment: 0.00 μB per formula unit

abc: 6.8453 6.8453 6.8453
angles: 109.47 109.47 109.47
Fractional positions:
Ac 0.0000 0.0000 0.5000
Ac 0.0000 0.5000 0.0000
Ac 0.5000 0.0000 0.0000
Ac 0.5000 0.5000 0.5000
Mg 0.0000 0.0000 0.0000
Cu 0.0000 0.5000 0.5000
Cu 0.5000 0.0000 0.5000
Cu 0.5000 0.5000 0.0000
O 0.0000 0.2580 0.2580
O 0.0000 0.7420 0.7420
O 0.2500 0.5000 0.7500
O 0.2500 0.7500 0.5000
O 0.2580 0.0000 0.2580
O 0.2580 0.2580 0.0000
O 0.5000 0.2500 0.7500
O 0.5000 0.7500 0.2500
O 0.7420 0.0000 0.7420
O 0.7420 0.7420 0.0000
O 0.7500 0.2500 0.5000
O 0.7500 0.5000 0.2500

***

Entry 2:
# AcMgCuPb

AcMgCuPb after structural relaxation (PBE-GGA, Alexandria via LeMat-Bulk).

Values from the calculation:
- Uncorrected energy: -3.5354 eV/atom
- DOS(E_F): 1.304 states/eV/cell
- Formation energy from the elements: -0.158 eV/atom
- SG: F-43m, No. 216
- Total moment: 0.00 μB per formula unit

abc: 5.3528 5.3528 5.3528
angles: 60.00 60.00 60.00
Fractional positions:
Ac 0.0000 0.0000 0.0000
Mg 0.5000 0.5000 0.5000
Cu 0.7500 0.7500 0.7500
Pb 0.2500 0.2500 0.2500

***

Entry 3:
# Ac3MgCu2Pd9

Ac3MgCu2Pd9 after structural relaxation (PBE-GGA, Alexandria via LeMat-Bulk).

Values from the calculation:
- Uncorrected energy: -4.9637 eV/atom
- DOS(E_F): 5.419 states/eV/cell
- Formation energy from the elements: -0.374 eV/atom
- SG: P-3m1, No. 164
- Total moment: 0.00 μB per formula unit

abc: 7.4347 7.4347 6.8072
angles: 90.00 90.00 120.00
Fractional positions:
Ac 0.0000 0.0000 0.0000
Ac 0.3333 0.6667 0.6707
Ac 0.6667 0.3333 0.3293
Mg 0.0000 0.0000 0.5000
Cu 0.3333 0.6667 0.1603
Cu 0.6667 0.3333 0.8397
Pd 0.0000 0.5000 0.0000
Pd 0.1686 0.3372 0.3325
Pd 0.1686 0.8314 0.3325
Pd 0.3372 0.1686 0.6675
Pd 0.5000 0.0000 0.0000
Pd 0.5000 0.5000 0.0000
Pd 0.6628 0.8314 0.3325
Pd 0.8314 0.1686 0.6675
Pd 0.8314 0.6628 0.6675

***

Entry 4:
# Ac2MgCuPd6

Ac2MgCuPd6 after structural relaxation (PBE-GGA, Alexandria via LeMat-Bulk).

Values from the calculation:
- Uncorrected energy: -5.0152 eV/atom
- DOS(E_F): 4.493 states/eV/cell
- Formation energy from the elements: -0.509 eV/atom
- SG: C2/m, No. 12
- Total moment: 0.00 μB per formula unit

abc: 5.8445 5.8445 8.6423
angles: 109.71 109.71 59.97
Fractional positions:
Ac 0.2113 0.2113 0.1346
Ac 0.7887 0.7887 0.8654
Mg 0.0000 0.0000 0.5000
Cu 0.5000 0.5000 0.0000
Pd 0.2391 0.7471 0.2348
Pd 0.2527 0.2527 0.7647
Pd 0.2529 0.7609 0.7652
Pd 0.7471 0.2391 0.2348
Pd 0.7473 0.7473 0.2353
Pd 0.7609 0.2529 0.7652

***

Entry 5:
# Ac2MgCu2Pd5

Ac2MgCu2Pd5 after structural relaxation (PBE-GGA, Alexandria via LeMat-Bulk).

Values from the calculation:
- Uncorrected energy: -4.9877 eV/atom
- DOS(E_F): 6.878 states/eV/cell
- Formation energy from the elements: -0.591 eV/atom
- SG: P4/mbm, No. 127
- Total moment: 0.00 μB per formula unit

abc: 9.8961 9.8961 3.9737
angles: 90.00 90.00 90.00
Fractional positions:
Ac 0.1789 0.3211 0.0000
Ac 0.3211 0.8211 0.0000
Ac 0.6789 0.1789 0.0000
Ac 0.8211 0.6789 0.0000
Mg 0.0000 0.0000 0.0000
Mg 0.5000 0.5000 0.0000
Cu 0.1178 0.6178 0.0000
Cu 0.3822 0.1178 0.0000
Cu 0.6178 0.8822 0.0000
Cu 0.8822 0.3822 0.0000
Pd 0.0000 0.5000 0.5000
Pd 0.0644 0.7915 0.5000
Pd 0.2085 0.0644 0.5000
Pd 0.2915 0.5644 0.5000
Pd 0.4356 0.2915 0.5000
Pd 0.5000 0.0000 0.5000
Pd 0.5644 0.7085 0.5000
Pd 0.7085 0.4356 0.5000
Pd 0.7915 0.9356 0.5000
Pd 0.9356 0.2085 0.5000

***

Entry 6:
# Ac2MgCu3Pd12

Ac2MgCu3Pd12 after structural relaxation (PBE-GGA, Alexandria via LeMat-Bulk).

Values from the calculation:
- Uncorrected energy: -4.7274 eV/atom
- DOS(E_F): 10.234 states/eV/cell
- Formation energy from the elements: -0.038 eV/atom
- SG: R-3m, No. 166
- Total moment: 0.00 μB per formula unit

abc: 7.8477 7.8477 7.8477
angles: 64.09 64.09 64.09
Fractional positions:
Ac 0.1139 0.1139 0.1139
Ac 0.8861 0.8861 0.8861
Mg 0.5000 0.5000 0.5000
Cu 0.0000 0.5000 0.5000
Cu 0.5000 0.0000 0.5000
Cu 0.5000 0.5000 0.0000
Pd 0.1194 0.6384 0.6384
Pd 0.1304 0.1304 0.6153
Pd 0.1304 0.6153 0.1304
Pd 0.3616 0.3616 0.8806
Pd 0.3616 0.8806 0.3616
Pd 0.3847 0.8696 0.8696
Pd 0.6153 0.1304 0.1304
Pd 0.6384 0.1194 0.6384
Pd 0.6384 0.6384 0.1194
Pd 0.8696 0.3847 0.8696
Pd 0.8696 0.8696 0.3847
Pd 0.8806 0.3616 0.3616

***

Entry 7:
# AcPmMgCu

AcPmMgCu after structural relaxation (PBE-GGA, Alexandria via LeMat-Bulk).

Values from the calculation:
- Uncorrected energy: -3.6369 eV/atom
- DOS(E_F): 4.176 states/eV/cell
- Formation energy from the elements: 0.001 eV/atom
- SG: F-43m, No. 216
- Total moment: 0.00 μB per formula unit

abc: 5.4452 5.4452 5.4452
angles: 60.00 60.00 60.00
Fractional positions:
Ac 0.0000 0.0000 0.0000
Pm 0.5000 0.5000 0.5000
Mg 0.2500 0.2500 0.2500
Cu 0.7500 0.7500 0.7500

***

Entry 8:
# AcMgCuPt

AcMgCuPt after structural relaxation (PBE-GGA, Alexandria via LeMat-Bulk).

Values from the calculation:
- Offset from the most stable computed form: 0.000 eV per atom
- Uncorrected energy: -4.5862 eV/atom
- DOS(E_F): 2.285 states/eV/cell
- Formation energy from the elements: -0.626 eV/atom
- SG: R3m, No. 160
- Total moment: 0.00 μB per formula unit

abc: 5.7583 5.7583 5.7583
angles: 46.69 46.69 46.69
Fractional positions:
Ac 0.0000 0.0000 0.0000
Mg 0.4942 0.4942 0.4942
Cu 0.2013 0.2013 0.2013
Pt 0.7940 0.7940 0.7940